This record from Alexandria describes a relaxed structure of Ba6Tl2O. The functional is PBE.

Lattice parameters (Å, degrees): 8.018 8.202 13.961 90.00 124.80 90.00
Fractional positions:
Ba  0.148  0.013  0.236
Ba  0.148  0.487  0.736
Ba  0.239  0.726  0.043
Ba  0.239  0.774  0.543
Ba  0.322  0.202  0.045
Ba  0.322  0.298  0.545
Ba  0.678  0.702  0.455
Ba  0.678  0.798  0.955
Ba  0.761  0.226  0.457
Ba  0.761  0.274  0.957
Ba  0.852  0.513  0.264
Ba  0.852  0.987  0.764
Tl  0.268  0.049  0.749
Tl  0.268  0.451  0.249
Tl  0.732  0.549  0.751
Tl  0.732  0.951  0.251
O  0.000  0.000  0.000
O  0.000  0.500  0.500

Density of states at the Fermi level in states/eV per cell: 16.9
SG: No. 14
Magnetic moment in μB per formula unit: 1.1
E_form (uncorrected) in eV per atom: -0.74
Calculated density in g/cm3: 5.50
Offset from the most stable computed form in meV/atom: 0